Entry 1:
Density functional theory data (PBE) for crystalline LiAlTe2 at its relaxed geometry.

Lattice parameters (Å, degrees): 3.7752 4.2656 6.3232 90.00 90.00 90.00
Sites, in units of the cell vectors:
Li  0.0000  0.0000  0.0000
Al  0.0000  0.5000  0.5000
Te  0.5000  0.0000  0.5000
Te  0.5000  0.5000  0.0000

Values from the calculation:
DOS at the Fermi energy	0.514	states/eV per atom
energy	-3.179	eV per atom
E_form (uncorrected)	-0.194	eV/atom


Entry 2:
Density functional theory data (PBE) for crystalline LiAlTe2 at its relaxed geometry.

Lattice parameters (Å, degrees): 4.9319 4.9319 8.0499 90.00 90.00 133.81
Sites, in units of the cell vectors:
Li  0.0000  0.0000  0.0000
Al  0.0000  0.0000  0.5000
Te  0.5000  0.5000  0.2700
Te  0.5000  0.5000  0.7300

Values from the calculation:
DOS at the Fermi energy	0.089	states/eV per atom
energy	-3.286	eV per atom
E_form (uncorrected)	-0.301	eV/atom


Entry 3:
Density functional theory data (PBE) for crystalline Li2AlTe at its relaxed geometry.

Lattice parameters (Å, degrees): 5.5531 5.5531 4.1065 90.10 90.10 43.88
Sites, in units of the cell vectors:
Li  0.0000  0.0000  0.0000
Li  0.7477  0.7477  0.4980
Al  0.2732  0.2732  0.9981
Te  0.4636  0.4636  0.4990

Values from the calculation:
DOS at the Fermi energy	0.217	states/eV per atom
energy	-3.040	eV per atom
excess energy over the best structure of this formula in the dataset	41	meV per atom
E_form (uncorrected)	-0.362	eV/atom


Entry 4:
Density functional theory data (PBE) for crystalline Li2AlTe at its relaxed geometry.

Lattice parameters (Å, degrees): 4.9041 4.9041 4.9041 60.00 60.00 60.00
Sites, in units of the cell vectors:
Li  0.2500  0.2500  0.2500
Li  0.7500  0.7500  0.7500
Al  0.0000  0.0000  0.0000
Te  0.5000  0.5000  0.5000

Values from the calculation:
DOS at the Fermi energy	0.494	states/eV per atom
energy	-2.944	eV per atom
excess energy over the best structure of this formula in the dataset	138	meV per atom
E_form (uncorrected)	-0.266	eV/atom


Entry 5:
Density functional theory data (PBE) for crystalline LiAlTe2 at its relaxed geometry.

Lattice parameters (Å, degrees): 3.5157 3.5157 7.7688 90.00 90.00 90.00
Sites, in units of the cell vectors:
Li  0.0000  0.0000  0.0000
Al  0.0000  0.0000  0.5000
Te  0.5000  0.5000  0.2562
Te  0.5000  0.5000  0.7438

Values from the calculation:
DOS at the Fermi energy	0.385	states/eV per atom
energy	-3.174	eV per atom
E_form (uncorrected)	-0.189	eV/atom


Entry 6:
Density functional theory data (PBE) for crystalline LiAlTe2 at its relaxed geometry.

Lattice parameters (Å, degrees): 7.6171 7.6171 7.6171 30.68 30.68 30.68
Sites, in units of the cell vectors:
Li  0.0000  0.0000  0.0000
Al  0.1632  0.1632  0.1632
Te  0.5693  0.5693  0.5693
Te  0.7560  0.7560  0.7560

Values from the calculation:
DOS at the Fermi energy	0.066	states/eV per atom
energy	-3.552	eV per atom
E_form (uncorrected)	-0.567	eV/atom


Entry 7:
Density functional theory data (PBE) for crystalline Li2AlTe at its relaxed geometry.

Lattice parameters (Å, degrees): 3.8214 3.8214 5.5746 90.00 90.00 90.00
Sites, in units of the cell vectors:
Li  0.0000  0.0000  0.0000
Li  0.5000  0.5000  0.2624
Al  0.5000  0.5000  0.7590
Te  0.0000  0.0000  0.5086

Values from the calculation:
DOS at the Fermi energy	0.253	states/eV per atom
energy	-2.981	eV per atom
excess energy over the best structure of this formula in the dataset	101	meV per atom
E_form (uncorrected)	-0.303	eV/atom


Entry 8:
Density functional theory data (PBE) for crystalline Li2AlTe at its relaxed geometry.

Lattice parameters (Å, degrees): 5.6430 5.6430 5.6430 137.84 137.66 61.28
Sites, in units of the cell vectors:
Li  0.0000  0.0000  0.0000
Li  0.7500  0.2500  0.5000
Al  0.4990  0.4990  0.0000
Te  0.2506  0.7506  0.5000

Values from the calculation:
DOS at the Fermi energy	0.433	states/eV per atom
energy	-2.986	eV per atom
excess energy over the best structure of this formula in the dataset	96	meV per atom
E_form (uncorrected)	-0.308	eV/atom


Entry 9:
Density functional theory data (PBE) for crystalline LiAl2TlTe4 at its relaxed geometry.

Lattice parameters (Å, degrees): 8.6675 8.6675 8.6675 138.54 138.54 60.07
Sites, in units of the cell vectors:
Li  0.0000  0.0000  0.0000
Al  0.2500  0.7500  0.5000
Al  0.7500  0.2500  0.5000
Tl  0.5000  0.5000  0.0000
Te  0.0790  0.0790  0.4515
Te  0.3725  0.9210  0.0000
Te  0.6275  0.6275  0.5485
Te  0.9210  0.3725  0.0000

Values from the calculation:
energy	-3.495	eV per atom
E_form (uncorrected)	-0.453	eV/atom


Entry 10:
Density functional theory data (PBE) for crystalline Li3Tm3AlTe8 at its relaxed geometry.

Lattice parameters (Å, degrees): 8.5759 8.5759 8.5759 59.17 59.17 59.17
Sites, in units of the cell vectors:
Li  0.0000  0.5000  0.5000
Li  0.5000  0.0000  0.5000
Li  0.5000  0.5000  0.0000
Tm  0.0000  0.0000  0.5000
Tm  0.0000  0.5000  0.0000
Tm  0.5000  0.0000  0.0000
Al  0.5000  0.5000  0.5000
Te  0.2517  0.2517  0.2517
Te  0.2622  0.2622  0.7341
Te  0.2622  0.7341  0.2622
Te  0.2659  0.7378  0.7378
Te  0.7341  0.2622  0.2622
Te  0.7378  0.2659  0.7378
Te  0.7378  0.7378  0.2659
Te  0.7482  0.7482  0.7482

Values from the calculation:
DOS at the Fermi energy	0.405	states/eV per atom
energy	-4.229	eV per atom
E_form (uncorrected)	-1.027	eV/atom


Entry 11:
Density functional theory data (PBE) for crystalline Li2YAlTe4 at its relaxed geometry.

Lattice parameters (Å, degrees): 8.4836 8.4836 8.4836 121.50 118.63 89.91
Sites, in units of the cell vectors:
Li  0.0000  0.0000  0.0000
Li  0.5000  0.0000  0.0000
Li  0.5000  0.0000  0.5000
Li  0.5000  0.5000  0.5000
Y  0.0000  0.5000  0.5000
Y  0.5000  0.5000  0.0000
Al  0.0000  0.0000  0.5000
Al  0.0000  0.5000  0.0000
Te  0.2185  0.2442  0.9743
Te  0.2301  0.7558  0.4743
Te  0.2477  0.2383  0.4906
Te  0.2477  0.7570  0.0094
Te  0.7523  0.2430  0.9906
Te  0.7523  0.7617  0.5094
Te  0.7699  0.2442  0.5257
Te  0.7815  0.7558  0.0257

Values from the calculation:
DOS at the Fermi energy	0.093	states/eV per atom
energy	-4.239	eV per atom
E_form (uncorrected)	-0.914	eV/atom


Entry 12:
Density functional theory data (PBE) for crystalline Li2Th3Al9 at its relaxed geometry.

Lattice parameters (Å, degrees): 8.4714 8.4714 8.4714 149.77 108.40 79.65
Sites, in units of the cell vectors:
Li  0.2061  0.0000  0.2061
Li  0.7939  0.0000  0.7939
Th  0.1930  0.1930  0.0000
Th  0.5000  0.5000  0.0000
Th  0.8070  0.8070  0.0000
Al  0.0000  0.5000  0.5000
Al  0.0898  0.3681  0.7217
Al  0.2021  0.8390  0.3631
Al  0.3536  0.6319  0.7217
Al  0.4759  0.8390  0.6369
Al  0.5241  0.1610  0.3631
Al  0.6464  0.3681  0.2783
Al  0.7979  0.1610  0.6369
Al  0.9102  0.6319  0.2783

Values from the calculation:
DOS at the Fermi energy	0.394	states/eV per atom
energy	-4.600	eV per atom
ΔH_f (0 K)	-331	meV per atom


Entry 13:
Density functional theory data (PBE) for crystalline LiThAl4 at its relaxed geometry.

Lattice parameters (Å, degrees): 5.5586 5.5586 5.5586 60.00 60.00 60.00
Sites, in units of the cell vectors:
Li  0.0000  0.0000  0.0000
Th  0.2500  0.2500  0.2500
Al  0.1262  0.6246  0.6246
Al  0.6246  0.1262  0.6246
Al  0.6246  0.6246  0.1262
Al  0.6246  0.6246  0.6246

Values from the calculation:
DOS at the Fermi energy	0.853	states/eV per atom
energy	-4.253	eV per atom
ΔH_f (0 K)	-202	meV per atom


Entry 14:
Density functional theory data (PBE) for crystalline LiThAl3 at its relaxed geometry.

Lattice parameters (Å, degrees): 5.8128 5.8971 5.8291 90.00 91.59 90.00
Sites, in units of the cell vectors:
Li  0.1287  0.2500  0.4455
Li  0.8713  0.7500  0.5545
Th  0.3423  0.7500  0.3400
Th  0.6577  0.2500  0.6600
Al  0.1642  0.0039  0.8373
Al  0.1642  0.4961  0.8373
Al  0.4447  0.2500  0.1486
Al  0.5553  0.7500  0.8514
Al  0.8358  0.5039  0.1627
Al  0.8358  0.9961  0.1627

Values from the calculation:
DOS at the Fermi energy	0.336	states/eV per atom
energy	-4.359	eV per atom
ΔH_f (0 K)	-246	meV per atom


Entry 15:
Density functional theory data (PBE) for crystalline LiThAl at its relaxed geometry.

Lattice parameters (Å, degrees): 6.4454 6.4454 6.4454 150.03 150.03 42.89
Sites, in units of the cell vectors:
Li  0.0000  0.0000  0.0000
Th  0.2981  0.2981  0.0000
Al  0.6148  0.6148  0.0000

Values from the calculation:
DOS at the Fermi energy	0.371	states/eV per atom
energy	-4.408	eV per atom
excess energy over the best structure of this formula in the dataset	67	meV per atom
ΔH_f (0 K)	-49	meV per atom


Entry 16:
Density functional theory data (PBE) for crystalline Li2Th3Al7 at its relaxed geometry.

Lattice parameters (Å, degrees): 9.3301 9.3301 9.3301 35.35 35.35 35.35
Sites, in units of the cell vectors:
Li  0.1648  0.1648  0.1648
Li  0.8352  0.8352  0.8352
Th  0.3596  0.3596  0.3596
Th  0.5000  0.5000  0.5000
Th  0.6404  0.6404  0.6404
Al  0.0000  0.0000  0.0000
Al  0.0832  0.0832  0.5759
Al  0.0832  0.5759  0.0832
Al  0.4241  0.9168  0.9168
Al  0.5759  0.0832  0.0832
Al  0.9168  0.4241  0.9168
Al  0.9168  0.9168  0.4241

Values from the calculation:
DOS at the Fermi energy	0.391	states/eV per atom
energy	-4.714	eV per atom
ΔH_f (0 K)	-357	meV per atom


Entry 17:
Density functional theory data (PBE) for crystalline LiThAl at its relaxed geometry.

Lattice parameters (Å, degrees): 4.8482 4.8482 3.3609 90.00 90.00 120.00
Sites, in units of the cell vectors:
Li  0.0000  0.0000  0.0000
Th  0.6667  0.3333  0.5000
Al  0.3333  0.6667  0.0000

Values from the calculation:
DOS at the Fermi energy	0.919	states/eV per atom
energy	-4.475	eV per atom
excess energy over the best structure of this formula in the dataset	0	meV per atom
ΔH_f (0 K)	-117	meV per atom


Entry 18:
Density functional theory data (PBE) for crystalline Li2Th3Al4 at its relaxed geometry.

Lattice parameters (Å, degrees): 5.9225 5.9225 8.9324 114.59 114.59 47.27
Sites, in units of the cell vectors:
Li  0.0953  0.0953  0.2630
Li  0.9047  0.9047  0.7370
Th  0.1732  0.1732  0.6596
Th  0.5000  0.5000  0.0000
Th  0.8268  0.8268  0.3404
Al  0.2287  0.2287  0.0613
Al  0.4602  0.4602  0.6226
Al  0.5398  0.5398  0.3774
Al  0.7713  0.7713  0.9387

Values from the calculation:
DOS at the Fermi energy	0.794	states/eV per atom
energy	-4.789	eV per atom
ΔH_f (0 K)	-227	meV per atom


Entry 19:
Density functional theory data (PBE) for crystalline LiThAl at its relaxed geometry.

Lattice parameters (Å, degrees): 4.9586 4.9586 6.2359 90.00 90.00 119.69
Sites, in units of the cell vectors:
Li  0.1690  0.8310  0.7500
Li  0.8310  0.1690  0.2500
Th  0.1655  0.8345  0.2500
Th  0.8345  0.1655  0.7500
Al  0.5000  0.5000  0.0000
Al  0.5000  0.5000  0.5000

Values from the calculation:
DOS at the Fermi energy	0.470	states/eV per atom
energy	-4.414	eV per atom
excess energy over the best structure of this formula in the dataset	62	meV per atom
ΔH_f (0 K)	-55	meV per atom


Entry 20:
Density functional theory data (PBE) for crystalline LiTh2Al6 at its relaxed geometry.

Lattice parameters (Å, degrees): 8.0141 8.0141 3.5429 90.00 90.00 120.00
Sites, in units of the cell vectors:
Li  0.0000  0.0000  0.0000
Th  0.3333  0.6667  0.0000
Th  0.6667  0.3333  0.0000
Al  0.0000  0.3291  0.5000
Al  0.0000  0.6709  0.5000
Al  0.3291  0.0000  0.5000
Al  0.3291  0.3291  0.5000
Al  0.6709  0.0000  0.5000
Al  0.6709  0.6709  0.5000

Values from the calculation:
DOS at the Fermi energy	0.616	states/eV per atom
energy	-4.591	eV per atom
ΔH_f (0 K)	-235	meV per atom